Entry 1:
The following is a DFT calculation (PBE) of crystalline KTlPb at its relaxed geometry.

Summary:
Electronic total energy   -2.472 eV/atom
Size of the total moment   0.0 μB/f.u.
Relative energy among the computed polymorphs   87 meV/atom
Volume   100.8 Å³/cell

a = 5.714 Å, b = 5.714 Å, c = 3.564 Å
α = 90.00°, β = 90.00°, γ = 120.00°
Positions (direct):
K 0.000 0.000 0.000
Tl 0.333 0.667 0.500
Pb 0.667 0.333 0.500

Entry 2:
The following is a DFT calculation (PBE) of crystalline KTl2Pb at its relaxed geometry.

Summary:
Electronic total energy   -2.449 eV/atom
Size of the total moment   0.0 μB/f.u.
Volume   268.9 Å³/cell

a = 10.918 Å, b = 3.688 Å, c = 6.768 Å
α = 90.00°, β = 99.27°, γ = 90.00°
Positions (direct):
K 0.000 0.000 0.000
K 0.500 0.500 0.000
Tl 0.243 0.000 0.722
Tl 0.257 0.500 0.278
Tl 0.743 0.500 0.722
Tl 0.757 0.000 0.278
Pb 0.000 0.500 0.500
Pb 0.500 0.000 0.500

Entry 3:
The following is a DFT calculation (PBE) of crystalline KTl6Pb6 at its relaxed geometry.

Summary:
Electronic total energy   -2.893 eV/atom
Size of the total moment   0.0 μB/f.u.
Relative energy among the computed polymorphs   8 meV/atom
Volume   437.7 Å³/cell

a = 8.750 Å, b = 8.750 Å, c = 8.750 Å
α = 134.96°, β = 99.79°, γ = 97.09°
Positions (direct):
K 0.000 0.000 0.000
Tl 0.189 0.689 0.500
Tl 0.349 0.349 0.000
Tl 0.354 0.000 0.354
Tl 0.646 0.000 0.646
Tl 0.651 0.651 0.000
Tl 0.811 0.311 0.500
Pb 0.000 0.000 0.500
Pb 0.000 0.500 0.000
Pb 0.235 0.500 0.735
Pb 0.500 0.000 0.000
Pb 0.500 0.500 0.500
Pb 0.765 0.500 0.265

Entry 4:
The following is a DFT calculation (PBE) of crystalline KTl2Pb10 at its relaxed geometry.

Summary:
Electronic total energy   -3.312 eV/atom
Size of the total moment   0.0 μB/f.u.
Volume   437.3 Å³/cell

a = 11.551 Å, b = 8.887 Å, c = 8.714 Å
α = 82.02°, β = 49.64°, γ = 48.34°
Positions (direct):
K 0.000 0.000 0.000
Tl 0.000 0.500 0.000
Tl 0.500 0.000 0.500
Pb 0.000 0.000 0.500
Pb 0.002 0.644 0.356
Pb 0.280 0.499 0.501
Pb 0.356 0.998 0.002
Pb 0.499 0.280 0.720
Pb 0.500 0.500 0.000
Pb 0.501 0.720 0.280
Pb 0.644 0.002 0.998
Pb 0.720 0.501 0.499
Pb 0.998 0.356 0.644

Entry 5:
The following is a DFT calculation (PBE) of crystalline K2Tl2Pb at its relaxed geometry.

Summary:
Electronic total energy   -2.210 eV/atom
Size of the total moment   0.0 μB/f.u.
Relative energy among the computed polymorphs   37 meV/atom
Volume   390.4 Å³/cell

a = 8.202 Å, b = 8.202 Å, c = 5.804 Å
α = 90.00°, β = 90.00°, γ = 90.00°
Positions (direct):
K 0.180 0.320 0.000
K 0.320 0.820 0.000
K 0.680 0.180 0.000
K 0.820 0.680 0.000
Tl 0.133 0.633 0.500
Tl 0.367 0.133 0.500
Tl 0.633 0.867 0.500
Tl 0.867 0.367 0.500
Pb 0.000 0.000 0.500
Pb 0.500 0.500 0.500

Entry 6:
The following is a DFT calculation (PBE) of crystalline KTlPb2 at its relaxed geometry.

Summary:
Electronic total energy   -2.767 eV/atom
Size of the total moment   0.0 μB/f.u.
Relative energy among the computed polymorphs   49 meV/atom
Volume   141.4 Å³/cell

a = 3.667 Å, b = 5.553 Å, c = 7.071 Å
α = 90.00°, β = 100.99°, γ = 90.00°
Positions (direct):
K 0.000 0.000 0.000
Tl 0.500 0.000 0.500
Pb 0.307 0.500 0.697
Pb 0.693 0.500 0.303

Entry 7:
The following is a DFT calculation (PBE) of crystalline K3Tl2Pb9 at its relaxed geometry.

Summary:
Electronic total energy   -3.055 eV/atom
Size of the total moment   0.0 μB/f.u.
Volume   484.0 Å³/cell

a = 9.905 Å, b = 9.905 Å, c = 9.905 Å
α = 148.37°, β = 102.89°, γ = 85.73°
Positions (direct):
K 0.000 0.000 0.000
K 0.288 0.288 0.000
K 0.712 0.712 0.000
Tl 0.343 0.500 0.843
Tl 0.657 0.500 0.157
Pb 0.001 0.366 0.635
Pb 0.130 0.848 0.281
Pb 0.270 0.634 0.635
Pb 0.433 0.152 0.281
Pb 0.500 0.000 0.500
Pb 0.567 0.848 0.719
Pb 0.730 0.366 0.365
Pb 0.870 0.152 0.719
Pb 0.999 0.634 0.365

Entry 8:
The following is a DFT calculation (PBE) of crystalline KTlPb at its relaxed geometry.

Summary:
Electronic total energy   -2.517 eV/atom
Size of the total moment   0.0 μB/f.u.
Relative energy among the computed polymorphs   42 meV/atom
Volume   208.9 Å³/cell

a = 5.369 Å, b = 5.335 Å, c = 7.771 Å
α = 90.00°, β = 110.20°, γ = 90.00°
Positions (direct):
K 0.247 0.250 0.494
K 0.753 0.750 0.506
Tl 0.426 0.750 0.850
Tl 0.574 0.250 0.150
Pb 0.065 0.750 0.127
Pb 0.935 0.250 0.873

Entry 9:
The following is a DFT calculation (PBE) of crystalline KTlPb2 at its relaxed geometry.

Summary:
Electronic total energy   -2.772 eV/atom
Size of the total moment   0.0 μB/f.u.
Relative energy among the computed polymorphs   45 meV/atom
Volume   137.3 Å³/cell

a = 3.766 Å, b = 4.646 Å, c = 7.849 Å
α = 90.00°, β = 90.00°, γ = 90.00°
Positions (direct):
K 0.000 0.000 0.000
Tl 0.000 0.000 0.500
Pb 0.500 0.500 0.298
Pb 0.500 0.500 0.702

Entry 10:
The following is a DFT calculation (PBE) of crystalline KTlPb at its relaxed geometry.

Summary:
Electronic total energy   -2.044 eV/atom
Size of the total moment   0.0 μB/f.u.
Relative energy among the computed polymorphs   515 meV/atom
Volume   480.4 Å³/cell

a = 7.832 Å, b = 7.832 Å, c = 7.832 Å
α = 90.00°, β = 90.00°, γ = 90.00°
Positions (direct):
K 0.000 0.000 0.000
K 0.000 0.500 0.500
K 0.500 0.000 0.500
K 0.500 0.500 0.000
Tl 0.250 0.250 0.750
Tl 0.250 0.750 0.250
Tl 0.750 0.250 0.250
Tl 0.750 0.750 0.750
Pb 0.250 0.250 0.250
Pb 0.250 0.750 0.750
Pb 0.750 0.250 0.750
Pb 0.750 0.750 0.250

Entry 11:
The following is a DFT calculation (PBE) of crystalline KTlPb at its relaxed geometry.

Summary:
Electronic total energy   -2.532 eV/atom
Size of the total moment   0.0 μB/f.u.
Relative energy among the computed polymorphs   28 meV/atom
Volume   460.8 Å³/cell

a = 15.397 Å, b = 4.519 Å, c = 7.523 Å
α = 90.00°, β = 118.33°, γ = 90.00°
Positions (direct):
K 0.000 0.000 0.000
K 0.161 0.500 0.667
K 0.500 0.500 0.000
K 0.661 0.000 0.667
Tl 0.206 0.500 0.217
Tl 0.330 0.000 0.096
Tl 0.706 0.000 0.217
Tl 0.830 0.500 0.096
Pb 0.336 0.000 0.559
Pb 0.447 0.500 0.447
Pb 0.836 0.500 0.559
Pb 0.947 0.000 0.447

Entry 12:
The following is a DFT calculation (PBE) of crystalline KTl4Pb2 at its relaxed geometry.

Summary:
Electronic total energy   -2.608 eV/atom
Size of the total moment   0.0 μB/f.u.
Volume   472.1 Å³/cell

a = 8.489 Å, b = 8.489 Å, c = 6.550 Å
α = 90.00°, β = 90.00°, γ = 90.00°
Positions (direct):
K 0.000 0.000 0.000
K 0.500 0.500 0.500
Tl 0.194 0.194 0.500
Tl 0.194 0.806 0.500
Tl 0.306 0.306 0.000
Tl 0.306 0.694 0.000
Tl 0.694 0.306 0.000
Tl 0.694 0.694 0.000
Tl 0.806 0.194 0.500
Tl 0.806 0.806 0.500
Pb 0.000 0.500 0.250
Pb 0.000 0.500 0.750
Pb 0.500 0.000 0.250
Pb 0.500 0.000 0.750